*w*
Here is BaPSe2N at its PBEsol-relaxed geometry from Alexandria via LeMat-Bulk. Energies are from meta-GGA SCAN.

abc: 5.343 5.343 3.515
angles: 90.00 90.00 90.00
Sites, in units of the cell vectors:
Ba (0.000, 0.000, 0.000)
P (0.500, 0.500, 0.500)
Se (0.000, 0.500, 0.500)
Se (0.500, 0.000, 0.500)
N (0.500, 0.500, 0.000)

The density of states at the Fermi level comes out at 0.5851 states/eV/atom.

***

*x*
Here is BaPSe2N at its PBEsol-relaxed geometry from Alexandria via LeMat-Bulk. Energies are from meta-GGA SCAN.

abc: 6.074 6.074 5.077
angles: 90.00 90.00 90.00
Sites, in units of the cell vectors:
Ba (0.000, 0.000, 0.000)
P (0.500, 0.500, 0.500)
Se (0.000, 0.500, 0.000)
Se (0.500, 0.000, 0.000)
N (0.000, 0.000, 0.500)

The density of states at the Fermi level comes out at 1.0124 states/eV/atom.

***

Relative energies, unit eV/atom: *w* 0.000; *x* 1.589

***

*w*
Here is BaTe2N2 at its PBEsol-relaxed geometry from Alexandria via LeMat-Bulk. Energies are from meta-GGA SCAN.

abc: 6.227 6.227 6.227
angles: 136.73 136.73 62.85
Sites, in units of the cell vectors:
Ba (0.000, 0.000, 0.000)
Te (0.304, 0.304, 0.000)
Te (0.696, 0.696, 0.000)
N (0.250, 0.750, 0.500)
N (0.750, 0.250, 0.500)

The density of states at the Fermi level comes out at 0.2154 states/eV/atom.

***

*x*
Here is BaTe2N2 at its PBEsol-relaxed geometry from Alexandria via LeMat-Bulk. Energies are from meta-GGA SCAN.

abc: 4.580 4.580 7.080
angles: 90.00 90.00 90.00
Sites, in units of the cell vectors:
Ba (0.000, 0.000, 0.000)
Te (0.000, 0.000, 0.500)
Te (0.500, 0.500, 0.500)
N (0.000, 0.500, 0.000)
N (0.500, 0.000, 0.000)

The density of states at the Fermi level comes out at 0.8917 states/eV/atom.

***

Relative energies, unit eV/atom: *w* 0.000; *x* 1.041